The following is a PBE calculation of a relaxed structure of LaCd2Se, from Alexandria.

Unit cell a=5.656 b=5.656 c=5.656 alpha=129.64 beta=129.64 gamma=73.98
Element x y z (fractional)
La1 0.000 0.000 0.000
Cd1 0.500 0.500 0.000
Cd2 0.750 0.250 0.500
Se1 0.250 0.750 0.500

Uncorrected formation energy (eV per atom): -0.61
Crystal system: tetragonal
Magnetization (μB per formula unit): 0.0
DFT total energy (eV per atom): -3.17
D(E_F) (states/eV/atom): 0.83

---

The following is a PBE calculation of a relaxed structure of La8AsIr3I3, from Alexandria.

Unit cell a=8.649 b=8.649 c=9.337 alpha=117.56 beta=117.56 gamma=59.97
Element x y z (fractional)
La1 0.215 0.740 0.695
La2 0.231 0.231 0.692
La3 0.260 0.260 0.305
La4 0.260 0.785 0.305
La5 0.740 0.215 0.695
La6 0.740 0.740 0.695
La7 0.769 0.769 0.308
La8 0.785 0.260 0.305
As1 0.500 0.500 0.500
Ir1 0.000 0.000 0.500
Ir2 0.000 0.500 0.500
Ir3 0.500 0.000 0.500
I1 0.000 0.500 0.000
I2 0.500 0.000 0.000
I3 0.500 0.500 0.000

Uncorrected formation energy (eV per atom): -1.01
Crystal system: monoclinic
Magnetization (μB per formula unit): 0.0
DFT total energy (eV per atom): -6.03
D(E_F) (states/eV/atom): 0.86

---

The following is a PBE calculation of a relaxed structure of Na4NO, from Alexandria.

Unit cell a=4.006 b=4.006 c=5.863 alpha=90.00 beta=90.00 gamma=90.00
Element x y z (fractional)
Na1 0.000 0.500 0.238
Na2 0.000 0.500 0.762
Na3 0.500 0.000 0.238
Na4 0.500 0.000 0.762
N1 0.000 0.000 0.500
O1 0.500 0.500 0.000

Uncorrected formation energy (eV per atom): -0.35
Crystal system: tetragonal
Magnetization (μB per formula unit): 1.0
DFT total energy (eV per atom): -3.44
D(E_F) (states/eV/atom): 0.44